Entry 1:
# Nd4NiI5 | the Open Quantum Materials Database | GGA-PBE | optimized geometry
data_Nd4NiI5
_chemical_formula_sum 'Nd4 Ni1 I5'
_cell_length_a 10.074
_cell_length_b 10.074
_cell_length_c 9.114
_cell_angle_alpha 102.59
_cell_angle_beta 102.59
_cell_angle_gamma 23.94
_space_group_name_H-M_alt 'P 1'
_space_group_IT_number 1
_space_group_name_Hall 'P 1'
loop_
_atom_site_label
_atom_site_type_symbol
_atom_site_fract_x
_atom_site_fract_y
_atom_site_fract_z
Nd1 Nd 0.000 0.000 0.204
Nd2 Nd 0.000 0.000 0.796
Nd3 Nd 0.355 0.355 0.924
Nd4 Nd 0.645 0.645 0.076
Ni1 Ni 0.500 0.500 0.000
I1 I 0.167 0.167 0.348
I2 I 0.175 0.175 0.824
I3 I 0.500 0.500 0.500
I4 I 0.825 0.825 0.176
I5 I 0.833 0.833 0.652
# **Final energy**: -4.320 eV per atom
# **Calculated volume**: 36.588 Å³ per atom

Entry 2:
# GdDyCd2Au4 | the Open Quantum Materials Database | GGA-PBE | optimized geometry
data_GdDyCd2Au4
_chemical_formula_sum 'Gd1 Dy1 Cd2 Au4'
_cell_length_a 4.943
_cell_length_b 4.943
_cell_length_c 6.989
_cell_angle_alpha 90.00
_cell_angle_beta 90.00
_cell_angle_gamma 90.00
_space_group_name_H-M_alt 'P 1'
_space_group_IT_number 1
_space_group_name_Hall 'P 1'
loop_
_atom_site_label
_atom_site_type_symbol
_atom_site_fract_x
_atom_site_fract_y
_atom_site_fract_z
Gd1 Gd 0.000 0.000 0.000
Dy1 Dy 0.500 0.500 0.500
Cd1 Cd 0.000 0.000 0.500
Cd2 Cd 0.500 0.500 0.000
Au1 Au 0.000 0.500 0.250
Au2 Au 0.000 0.500 0.750
Au3 Au 0.500 0.000 0.250
Au4 Au 0.500 0.000 0.750
# **Energy of formation**: -0.68 eV per atom
# **Calculated volume**: 21.348 Å³ per atom

Entry 3:
# NbPCSe2 | the Open Quantum Materials Database | GGA-PBE | optimized geometry
data_NbPCSe2
_chemical_formula_sum 'Nb1 P1 C1 Se2'
_cell_length_a 3.365
_cell_length_b 3.365
_cell_length_c 9.985
_cell_angle_alpha 90.00
_cell_angle_beta 90.00
_cell_angle_gamma 120.00
_space_group_name_H-M_alt 'P 1'
_space_group_IT_number 1
_space_group_name_Hall 'P 1'
loop_
_atom_site_label
_atom_site_type_symbol
_atom_site_fract_x
_atom_site_fract_y
_atom_site_fract_z
Nb1 Nb 0.000 0.000 0.000
P1 P 0.667 0.333 0.737
C1 C 0.333 0.667 0.899
Se1 Se 0.000 0.000 0.583
Se2 Se 0.667 0.333 0.180
# **Final energy**: -6.220 eV per atom
# **Calculated volume**: 19.586 Å³ per atom

Entry 4:
# DyYPbC | the Open Quantum Materials Database | GGA-PBE | optimized geometry
data_DyYPbC
_chemical_formula_sum 'Dy2 Y2 Pb2 C2'
_cell_length_a 3.641
_cell_length_b 3.641
_cell_length_c 16.140
_cell_angle_alpha 90.00
_cell_angle_beta 90.00
_cell_angle_gamma 120.00
_space_group_name_H-M_alt 'P 1'
_space_group_IT_number 1
_space_group_name_Hall 'P 1'
loop_
_atom_site_label
_atom_site_type_symbol
_atom_site_fract_x
_atom_site_fract_y
_atom_site_fract_z
Dy1 Dy 0.333 0.667 0.000
Dy2 Dy 0.667 0.333 0.500
Y1 Y 0.333 0.667 0.335
Y2 Y 0.667 0.333 0.835
Pb1 Pb 0.333 0.667 0.667
Pb2 Pb 0.667 0.333 0.167
C1 C 0.000 0.000 0.418
C2 C 0.000 0.000 0.918
# **Final energy**: -6.499 eV per atom
# **Calculated volume**: 23.160 Å³ per atom

Entry 5:
# ErIr2 | the Open Quantum Materials Database | GGA-PBE | optimized geometry
data_ErIr2
_chemical_formula_sum 'Er1 Ir2'
_cell_length_a 4.439
_cell_length_b 4.439
_cell_length_c 4.439
_cell_angle_alpha 60.00
_cell_angle_beta 60.00
_cell_angle_gamma 60.00
_space_group_name_H-M_alt 'P 1'
_space_group_IT_number 1
_space_group_name_Hall 'P 1'
loop_
_atom_site_label
_atom_site_type_symbol
_atom_site_fract_x
_atom_site_fract_y
_atom_site_fract_z
Er1 Er 0.000 0.000 0.000
Ir1 Ir 0.250 0.250 0.250
Ir2 Ir 0.750 0.750 0.750
# **Energy of formation**: 0.36 eV per atom
# **Calculated volume**: 20.610 Å³ per atom

Entry 6:
# Sm3NiPd2Pb3 | the Open Quantum Materials Database | GGA-PBE | optimized geometry
data_Sm3NiPd2Pb3
_chemical_formula_sum 'Sm3 Ni1 Pd2 Pb3'
_cell_length_a 7.773
_cell_length_b 7.773
_cell_length_c 3.984
_cell_angle_alpha 90.00
_cell_angle_beta 90.00
_cell_angle_gamma 120.00
_space_group_name_H-M_alt 'P 1'
_space_group_IT_number 1
_space_group_name_Hall 'P 1'
loop_
_atom_site_label
_atom_site_type_symbol
_atom_site_fract_x
_atom_site_fract_y
_atom_site_fract_z
Sm1 Sm 0.000 0.595 0.000
Sm2 Sm 0.405 0.405 0.000
Sm3 Sm 0.595 0.000 0.000
Ni1 Ni 0.000 0.000 0.000
Pd1 Pd 0.333 0.667 0.500
Pd2 Pd 0.667 0.333 0.500
Pb1 Pb 0.000 0.251 0.500
Pb2 Pb 0.251 0.000 0.500
Pb3 Pb 0.749 0.749 0.500
# **Final energy**: -5.227 eV per atom
# **Calculated volume**: 23.163 Å³ per atom

Question: What is the formula in the fourth record?
Answer: DyYPbC

Question: The highest calculated volume belongs to which entry?
Answer: Nd4NiI5

Please write out number 2 again, unchanged.
# GdDyCd2Au4 | the Open Quantum Materials Database | GGA-PBE | optimized geometry
data_GdDyCd2Au4
_chemical_formula_sum 'Gd1 Dy1 Cd2 Au4'
_cell_length_a 4.943
_cell_length_b 4.943
_cell_length_c 6.989
_cell_angle_alpha 90.00
_cell_angle_beta 90.00
_cell_angle_gamma 90.00
_space_group_name_H-M_alt 'P 1'
_space_group_IT_number 1
_space_group_name_Hall 'P 1'
loop_
_atom_site_label
_atom_site_type_symbol
_atom_site_fract_x
_atom_site_fract_y
_atom_site_fract_z
Gd1 Gd 0.000 0.000 0.000
Dy1 Dy 0.500 0.500 0.500
Cd1 Cd 0.000 0.000 0.500
Cd2 Cd 0.500 0.500 0.000
Au1 Au 0.000 0.500 0.250
Au2 Au 0.000 0.500 0.750
Au3 Au 0.500 0.000 0.250
Au4 Au 0.500 0.000 0.750
# **Energy of formation**: -0.68 eV per atom
# **Calculated volume**: 21.348 Å³ per atom

Question: Which value of calculated volume does entry 3 give?
Answer: 19.586 Å³ per atom